(1)
This record from the Alexandria database describes a PBEsol-optimized structure of Be2ZnAg. The functional is meta-GGA SCAN.

Unit cell a=4.5655 b=4.5655 c=4.1563 alpha=108.05 beta=108.05 gamma=34.66
Positions (direct):
Be1 0.0000 0.0000 0.0000
Be2 0.7160 0.7160 0.2742
Zn1 0.4700 0.4700 0.4644
Ag1 0.2479 0.2479 0.8047

Total moment   0.00 μB per cell
Formation energy   0.09 eV/atom

***

(2)
This record from the Alexandria database describes a PBEsol-optimized structure of Be4ZnAg. The functional is meta-GGA SCAN.

Unit cell a=4.4106 b=4.4106 c=4.4106 alpha=60.00 beta=60.00 gamma=60.00
Positions (direct):
Be1 0.1250 0.1250 0.1250
Be2 0.1250 0.1250 0.6249
Be3 0.1250 0.6249 0.1250
Be4 0.6249 0.1250 0.1250
Zn1 0.5000 0.5000 0.5000
Ag1 0.7500 0.7500 0.7500

Total moment   0.00 μB per cell
Formation energy   -0.05 eV/atom

***

(3)
This record from the Alexandria database describes a PBEsol-optimized structure of Be2ZnAg. The functional is meta-GGA SCAN.

Unit cell a=4.7170 b=4.7170 c=4.7170 alpha=144.22 beta=129.97 gamma=63.02
Positions (direct):
Be1 0.0000 0.0000 0.0000
Be2 0.7763 0.2763 0.5000
Zn1 0.2525 0.7525 0.5000
Ag1 0.5252 0.5252 0.0000

Total moment   0.00 μB per cell
Formation energy   0.09 eV/atom

***

(4)
This record from the Alexandria database describes a PBEsol-optimized structure of Be2ZnAg. The functional is meta-GGA SCAN.

Unit cell a=4.5036 b=4.5036 c=4.5036 alpha=133.72 beta=133.72 gamma=67.53
Positions (direct):
Be1 0.0000 0.0000 0.0000
Be2 0.7500 0.2500 0.5000
Zn1 0.5000 0.5000 0.0000
Ag1 0.2500 0.7500 0.5000

Total moment   0.00 μB per cell
Formation energy   0.10 eV/atom

***

(5)
This record from the Alexandria database describes a PBEsol-optimized structure of ZrBeAg2. The functional is meta-GGA SCAN.

Unit cell a=2.8998 b=2.8998 c=7.3490 alpha=90.00 beta=90.00 gamma=90.00
Positions (direct):
Zr1 0.0000 0.0000 0.0000
Be1 0.0000 0.0000 0.5000
Ag1 0.5000 0.5000 0.3044
Ag2 0.5000 0.5000 0.6956

Total moment   0.00 μB per cell
Formation energy   0.00 eV/atom

***

(6)
This record from the Alexandria database describes a PBEsol-optimized structure of AgBiBr3. The functional is meta-GGA SCAN.

Unit cell a=5.1703 b=5.1703 c=5.1703 alpha=90.00 beta=90.00 gamma=90.00
Positions (direct):
Ag1 0.0000 0.0000 0.0000
Bi1 0.5000 0.5000 0.5000
Br1 0.0000 0.0000 0.5000
Br2 0.0000 0.5000 0.0000
Br3 0.5000 0.0000 0.0000

Total moment   0.00 μB per cell
Raw formation energy   0.0231 eV/atom

***

(7)
This record from the Alexandria database describes a PBEsol-optimized structure of AgBiBr2. The functional is meta-GGA SCAN.

Unit cell a=10.0195 b=10.0195 c=10.0195 alpha=20.55 beta=20.55 gamma=20.55
Positions (direct):
Ag1 0.0000 0.0000 0.0000
Bi1 0.5000 0.5000 0.5000
Br1 0.0840 0.0840 0.0840
Br2 0.9160 0.9160 0.9160

Total moment   0.00 μB per cell
Raw formation energy   -0.0818 eV/atom

***

(8)
This record from the Alexandria database describes a PBEsol-optimized structure of AgBi2Br. The functional is meta-GGA SCAN.

Unit cell a=5.2008 b=5.2008 c=5.2008 alpha=60.00 beta=60.00 gamma=60.00
Positions (direct):
Ag1 0.0000 0.0000 0.0000
Bi1 0.2500 0.2500 0.2500
Bi2 0.7500 0.7500 0.7500
Br1 0.5000 0.5000 0.5000

Total moment   0.00 μB per cell
Raw formation energy   0.2663 eV/atom

***

(9)
This record from the Alexandria database describes a PBEsol-optimized structure of AgBiSe2Br. The functional is meta-GGA SCAN.

Unit cell a=5.4244 b=5.4244 c=5.5642 alpha=90.00 beta=90.00 gamma=90.00
Positions (direct):
Ag1 0.0000 0.0000 0.0000
Bi1 0.5000 0.5000 0.5000
Se1 0.0000 0.5000 0.5000
Se2 0.5000 0.0000 0.5000
Br1 0.5000 0.5000 0.0000

Total moment   0.00 μB per cell
Raw formation energy   0.3604 eV/atom

***

(10)
This record from the Alexandria database describes a PBEsol-optimized structure of TlAgBiBr2. The functional is meta-GGA SCAN.

Unit cell a=5.5528 b=5.5528 c=6.2927 alpha=90.00 beta=90.00 gamma=90.00
Positions (direct):
Tl1 0.0000 0.0000 0.0000
Ag1 0.5000 0.5000 0.0000
Bi1 0.0000 0.0000 0.5000
Br1 0.0000 0.5000 0.5000
Br2 0.5000 0.0000 0.5000

Total moment   0.00 μB per cell
Raw formation energy   0.2235 eV/atom

***

(11)
This record from the Alexandria database describes a PBEsol-optimized structure of La2AgBiC. The functional is meta-GGA SCAN.

Unit cell a=5.2771 b=5.2771 c=4.2956 alpha=90.00 beta=90.00 gamma=90.00
Positions (direct):
La1 0.0000 0.5000 0.0000
La2 0.5000 0.0000 0.0000
Ag1 0.0000 0.0000 0.5000
Bi1 0.5000 0.5000 0.5000
C1 0.0000 0.0000 0.0000

Total moment   0.00 μB per cell
Formation energy   -0.46 eV/atom

***

(12)
This record from the Alexandria database describes a PBEsol-optimized structure of AgBi2CN. The functional is meta-GGA SCAN.

Unit cell a=5.4613 b=5.4613 c=3.7056 alpha=90.00 beta=90.00 gamma=90.00
Positions (direct):
Ag1 0.0000 0.0000 0.0000
Bi1 0.0000 0.5000 0.0000
Bi2 0.5000 0.0000 0.0000
C1 0.5000 0.5000 0.5000
N1 0.0000 0.0000 0.5000

Total moment   1.90 μB per cell
Raw formation energy   2.2154 eV/atom

***

(13)
This record from the Alexandria database describes a PBEsol-optimized structure of AgBi2SbC. The functional is meta-GGA SCAN.

Unit cell a=5.1990 b=5.1990 c=4.1366 alpha=90.00 beta=90.00 gamma=90.00
Positions (direct):
Ag1 0.0000 0.0000 0.0000
Bi1 0.0000 0.5000 0.5000
Bi2 0.5000 0.0000 0.5000
Sb1 0.5000 0.5000 0.0000
C1 0.0000 0.0000 0.5000

Total moment   0.00 μB per cell
Raw formation energy   0.8818 eV/atom

***

(14)
This record from the Alexandria database describes a PBEsol-optimized structure of Ca2Ag2Bi. The functional is meta-GGA SCAN.

Unit cell a=5.8700 b=5.8700 c=5.8700 alpha=121.84 beta=121.84 gamma=86.84
Positions (direct):
Ca1 0.2500 0.7500 0.5000
Ca2 0.7500 0.2500 0.5000
Ag1 0.1496 0.1496 0.0000
Ag2 0.8504 0.8504 0.0000
Bi1 0.5000 0.5000 0.0000

Total moment   0.00 μB per cell
Energy above the most stable polymorph in this dataset   177 meV/atom
Formation energy   -0.29 eV/atom

***

(15)
This record from the Alexandria database describes a PBEsol-optimized structure of Ca2Ag2Bi. The functional is meta-GGA SCAN.

Unit cell a=8.1148 b=8.1148 c=3.7763 alpha=90.00 beta=90.00 gamma=90.00
Positions (direct):
Ca1 0.1756 0.3244 0.0000
Ca2 0.3244 0.8244 0.0000
Ca3 0.6756 0.1756 0.0000
Ca4 0.8244 0.6756 0.0000
Ag1 0.1184 0.6184 0.5000
Ag2 0.3816 0.1184 0.5000
Ag3 0.6184 0.8816 0.5000
Ag4 0.8816 0.3816 0.5000
Bi1 0.0000 0.0000 0.5000
Bi2 0.5000 0.5000 0.5000

Total moment   0.00 μB per cell
Energy above the most stable polymorph in this dataset   0 meV/atom
Formation energy   -0.47 eV/atom

***

(16)
This record from the Alexandria database describes a PBEsol-optimized structure of CaAgBi. The functional is meta-GGA SCAN.

Unit cell a=4.8037 b=4.8037 c=7.8504 alpha=90.00 beta=90.00 gamma=120.00
Positions (direct):
Ca1 0.0000 0.0000 0.0000
Ca2 0.0000 0.0000 0.5000
Ag1 0.3333 0.6667 0.2500
Ag2 0.6667 0.3333 0.7500
Bi1 0.3333 0.6667 0.7500
Bi2 0.6667 0.3333 0.2500

Total moment   0.00 μB per cell
Formation energy   -0.61 eV/atom

***

(17)
This record from the Alexandria database describes a PBEsol-optimized structure of CaAgBi. The functional is meta-GGA SCAN.

Unit cell a=4.8033 b=4.8033 c=7.6825 alpha=90.00 beta=90.00 gamma=120.00
Positions (direct):
Ca1 0.0000 0.0000 0.0000
Ca2 0.0000 0.0000 0.5000
Ag1 0.3333 0.6667 0.1829
Ag2 0.6667 0.3333 0.6829
Bi1 0.3333 0.6667 0.7833
Bi2 0.6667 0.3333 0.2833

Total moment   0.00 μB per cell
Formation energy   -0.66 eV/atom

***

(18)
This record from the Alexandria database describes a PBEsol-optimized structure of CaCrAg2Bi. The functional is meta-GGA SCAN.

Unit cell a=4.9322 b=4.9322 c=5.2953 alpha=90.00 beta=90.00 gamma=90.00
Positions (direct):
Ca1 0.0000 0.0000 0.0000
Cr1 0.0000 0.0000 0.5000
Ag1 0.0000 0.5000 0.5000
Ag2 0.5000 0.0000 0.5000
Bi1 0.5000 0.5000 0.0000

Total moment   4.96 μB per cell
Formation energy   0.54 eV/atom

***

(19)
This record from the Alexandria database describes a PBEsol-optimized structure of KCaAg2Bi. The functional is meta-GGA SCAN.

Unit cell a=5.5622 b=5.5622 c=5.8784 alpha=90.00 beta=90.00 gamma=90.00
Positions (direct):
K1 0.0000 0.0000 0.0000
Ca1 0.5000 0.5000 0.0000
Ag1 0.0000 0.5000 0.5000
Ag2 0.5000 0.0000 0.5000
Bi1 0.5000 0.5000 0.5000

Total moment   0.00 μB per cell
Formation energy   0.15 eV/atom

***

(20)
This record from the Alexandria database describes a PBEsol-optimized structure of CaAgBiRu2. The functional is meta-GGA SCAN.

Unit cell a=4.9138 b=4.9138 c=5.1858 alpha=90.00 beta=90.00 gamma=90.00
Positions (direct):
Ca1 0.0000 0.0000 0.0000
Ag1 0.5000 0.5000 0.5000
Bi1 0.5000 0.5000 0.0000
Ru1 0.0000 0.5000 0.5000
Ru2 0.5000 0.0000 0.5000

Total moment   4.50 μB per cell
Formation energy   1.21 eV/atom